Compound: Pm3Ho2Er2
Source: Alexandria via LeMat-Bulk
Functional: PBE
Structure: optimized geometry

a = 11.8457 Å, b = 3.5737 Å, c = 10.7135 Å
α = 90.00°, β = 95.88°, γ = 90.00°
With the nearest neighbours (Å) after each atom.
Space group C2/m (No. 12)
Asymmetric unit:
Pm 0.0000 0.0000 0.0000 x2  4 Er 3.56, 6 Ho 3.56-3.57, 2 Pm 3.57
Pm 0.1424 0.0000 0.5718 x4  5 Pm 3.56-3.59, 5 Er 3.57-3.59, 2 Ho 3.58
Ho 0.2146 0.5000 0.8586 x4  4 Ho 3.54-3.57, 3 Er 3.56-3.58, 5 Pm 3.56-3.58
Er 0.0726 0.5000 0.2840 x4  7 Pm 3.56-3.59, 3 Ho 3.56-3.58, 2 Er 3.57

ΔH_f (0 K) = 0.12 eV/f.u.
polymorph energy (0 for the lowest one) = 0.000 eV/atom


Compound: PmHo4Er
Source: Alexandria via LeMat-Bulk
Functional: PBE
Structure: optimized geometry

a = 3.4384 Å, b = 5.7799 Å, c = 9.8576 Å
α = 90.00°, β = 90.00°, γ = 90.00°
With the nearest neighbours (Å) after each atom.
Space group Pmmm (No. 47)
Asymmetric unit:
Pm 0.0000 0.0000 0.0000 x1  2 Pm 3.44, 8 Ho 3.45-3.54
Ho 0.0000 0.5000 0.1911 x2  7 Ho 3.44-3.77, 2 Pm 3.45, 2 Er 3.50
Ho 0.5000 0.0000 0.3141 x2  2 Er 3.42, 7 Ho 3.44-3.66, 2 Pm 3.54
Er 0.5000 0.5000 0.5000 x1  8 Ho 3.42-3.50, 2 Er 3.44

ΔH_f (0 K) = 1.19 eV/f.u.
polymorph energy (0 for the lowest one) = 0.000 eV/atom


Compound: PmHo2Er8
Source: Alexandria via LeMat-Bulk
Functional: PBE
Structure: optimized geometry

a = 17.9656 Å, b = 4.9747 Å, c = 7.8782 Å
α = 90.00°, β = 105.27°, γ = 90.00°
With the nearest neighbours (Å) after each atom.
Space group C2/m (No. 12)
Asymmetric unit:
Pm 0.0000 0.0000 0.0000 x2  12 Er 3.53-3.54
Ho 0.2277 0.5000 0.6365 x4  10 Er 3.51-3.52, 2 Ho 3.52
Er 0.0456 0.5000 0.7263 x4  9 Er 3.51-3.54, 1 Ho 3.52, 2 Pm 3.53
Er 0.0911 0.0000 0.4563 x4  8 Er 3.51-3.53, 3 Ho 3.52, 1 Pm 3.54
Er 0.1370 0.5000 0.1830 x4  3 Ho 3.51-3.52, 7 Er 3.51-3.54, 2 Pm 3.53
Er 0.1821 0.0000 0.9084 x4  8 Er 3.51-3.53, 3 Ho 3.52, 1 Pm 3.53

ΔH_f (0 K) = 0.24 eV/f.u.
polymorph energy (0 for the lowest one) = 0.000 eV/atom


Compound: Pm3Ho2Er3
Source: Alexandria via LeMat-Bulk
Functional: PBE
Structure: optimized geometry

a = 15.8475 Å, b = 5.9226 Å, c = 5.9247 Å
α = 90.00°, β = 111.94°, γ = 90.00°
With the nearest neighbours (Å) after each atom.
Space group C2/m (No. 12)
Asymmetric unit:
Pm 0.0000 0.0000 0.0000 x2  4 Er 3.48, 4 Pm 3.51, 2 Ho 3.70
Pm 0.1278 0.0000 0.6282 x4  4 Ho 3.45-3.48, 3 Pm 3.51-3.76, 3 Er 3.51-3.64
Ho 0.2485 0.5000 0.7480 x4  5 Pm 3.45-3.70, 5 Er 3.48-3.65
Er 0.0000 0.5000 0.5000 x2  4 Er 3.48, 4 Pm 3.51, 2 Ho 3.65
Er 0.1247 0.5000 0.1244 x4  4 Ho 3.48-3.50, 3 Er 3.48-3.67, 3 Pm 3.48-3.64

ΔH_f (0 K) = 1.02 eV/f.u.
polymorph energy (0 for the lowest one) = 0.106 eV/atom


Compound: Pm3Ho2Er3
Source: Alexandria via LeMat-Bulk
Functional: PBE
Structure: optimized geometry

a = 5.0342 Å, b = 5.0422 Å, c = 20.1800 Å
α = 90.00°, β = 90.00°, γ = 90.00°
With the nearest neighbours (Å) after each atom.
Space group Immm (No. 71)
Asymmetric unit:
Pm 0.0000 0.0000 0.0000 x2  8 Er 3.56-3.58, 4 Pm 3.57
Pm 0.0000 0.5000 0.1249 x4  4 Ho 3.56-3.57, 6 Er 3.56, 2 Pm 3.57
Ho 0.0000 0.0000 0.2494 x4  4 Er 3.54-3.56, 4 Pm 3.56-3.57, 4 Ho 3.56
Er 0.0000 0.0000 0.5000 x2  8 Pm 3.56, 4 Er 3.58
Er 0.0000 0.5000 0.3738 x4  4 Ho 3.54-3.56, 6 Pm 3.56-3.58, 2 Er 3.58

ΔH_f (0 K) = 0.17 eV/f.u.
polymorph energy (0 for the lowest one) = 0.000 eV/atom


Compound: Pm3Ho5Er3
Source: Alexandria via LeMat-Bulk
Functional: PBE
Structure: optimized geometry

a = 9.6377 Å, b = 9.6377 Å, c = 5.3833 Å
α = 90.00°, β = 90.00°, γ = 120.00°
With the nearest neighbours (Å) after each atom.
Space group P-62m (No. 189)
Asymmetric unit:
Pm 0.0000 0.3676 0.0000 x3  4 Ho 3.06-3.16, 2 Er 3.22
Ho 0.0000 0.7387 0.0000 x3  2 Pm 3.16, 2 Er 3.24
Ho 0.3333 0.6667 0.0000 x2  3 Pm 3.06
Er 0.0000 0.5517 0.5000 x3  2 Pm 3.22, 2 Ho 3.24

ΔH_f (0 K) = 9.05 eV/f.u.